This record from OQMD via LeMat-Bulk describes ErTm3Lu2Te2Os after structural relaxation. The functional is PBE.

Calculated values
Calculated total energy in eV per formula unit: -50.8
Mass density in g cm⁻³: 10.49
Total moment in Bohr magnetons per cell: 0.0

Lattice parameters (Å, degrees): 4.0209 8.1404 8.1404 119.20 90.00 90.00
With the nearest neighbours (Å) after each atom.
Fractional coordinates of all 9 atoms:
Er (0.0000, 0.0000, 0.0000)  4 Te 3.22, 1 Os 3.24, 4 Tm 3.42
Tm (0.5000, 0.1461, 0.3863)  2 Os 2.82
Tm (0.5000, 0.3863, 0.1461)  2 Os 2.82
Tm (0.5000, 0.6267, 0.6267)  2 Os 2.79
Lu (0.0000, 0.3866, 0.7678)  1 Os 3.08, 4 Te 3.25-3.26, 4 Tm 3.37-3.40
Lu (0.0000, 0.7678, 0.3866)  1 Os 3.08, 4 Te 3.25-3.26, 4 Tm 3.37-3.40
Te (0.5000, 0.0524, 0.7204)  3 Tm 3.16-3.19, 2 Er 3.22, 4 Lu 3.25-3.26
Te (0.5000, 0.7204, 0.0524)  3 Tm 3.16-3.19, 2 Er 3.22, 4 Lu 3.25-3.26
Os (0.0000, 0.3927, 0.3927)  6 Tm 2.79-2.82, 2 Lu 3.08